The following is a DFT calculation (PBEsol) of LiCo2 after structural relaxation.

## Properties
The calculation puts the uncorrected energy at -5.639 eV per atom. Its total moment is 2.76 μB/f.u. The calculation puts the formation energy at 0.175 eV/atom.

Cell: 9.215 2.457 6.003 Å, 90.00 109.34 90.00°
Space group Cm (No. 8)
Unique sites:
Li 0.000 0.000 0.000 x2
Li 0.151 0.500 0.348 x2
Co 0.126 0.500 0.748 x2
Co 0.290 0.000 0.087 x2
Co 0.326 0.000 0.681 x2
Co 0.432 0.500 0.438 x2